[1]
Computed, not measured: crystalline TaBeZn2 at its relaxed geometry at the GGA-PBE level of DFT.

The total DFT energy (no corrections) comes out at -0.322 Ry per atom. The calculated formation energy comes out at 0.151 eV/atom. Its space group is No. 12.

abc: 5.2071 5.2071 4.6410
angles: 66.96 66.96 28.94
Positions (direct):
Be: 0.2500 0.2500 0.2500
Zn: 0.9700 0.9700 0.0302
Zn: 0.5300 0.5300 0.4698
Ta: 0.7500 0.7500 0.7500



[2]
Computed, not measured: crystalline TaBe10Zn at its relaxed geometry at the GGA-PBE level of DFT.

The total DFT energy (no corrections) comes out at -0.315 Ry per atom. The calculated formation energy comes out at -0.086 eV/atom. Its space group is No. 47.

abc: 3.4793 4.2822 7.6321
angles: 90.00 90.00 90.00
Positions (direct):
Ta: 0.0000 0.5000 0.5000
Be: 0.0000 0.0000 0.3197
Be: 0.0000 0.5000 0.8377
Be: 0.0000 0.5000 0.1623
Be: 0.0000 0.0000 0.6803
Be: 0.5000 0.0000 0.5000
Be: 0.5000 0.5000 0.0000
Be: 0.5000 0.2640 0.2611
Be: 0.5000 0.7360 0.7389
Be: 0.5000 0.7360 0.2611
Be: 0.5000 0.2640 0.7389
Zn: 0.0000 0.0000 0.0000



[3]
Computed, not measured: crystalline TaBeZn at its relaxed geometry at the GGA-PBE level of DFT.

The total DFT energy (no corrections) comes out at -0.421 Ry per atom. The calculated formation energy comes out at -0.111 eV/atom. Its space group is No. 139.

abc: 3.5128 3.5128 6.8991
angles: 104.75 104.75 90.00
Positions (direct):
Ta: 0.6800 0.6800 0.3600
Ta: 0.3200 0.3200 0.6400
Be: 0.1276 0.1276 0.2553
Be: 0.8724 0.8724 0.7447
Zn: 0.5000 0.0000 0.0000
Zn: 0.0000 0.5000 0.0000



[4]
Computed, not measured: crystalline TaBeZn2 at its relaxed geometry at the GGA-PBE level of DFT.

The total DFT energy (no corrections) comes out at -0.314 Ry per atom. The calculated formation energy comes out at 0.264 eV/atom. Its space group is No. 166.

abc: 8.9097 8.9097 8.9097
angles: 17.85 17.85 17.85
Positions (direct):
Be: 0.2500 0.2500 0.2500
Zn: 0.9896 0.9896 0.9896
Zn: 0.5104 0.5104 0.5104
Ta: 0.7500 0.7500 0.7500



[5]
Computed, not measured: crystalline TaBeZn2 at its relaxed geometry at the GGA-PBE level of DFT.

The total DFT energy (no corrections) comes out at -0.315 Ry per atom. The calculated formation energy comes out at 0.249 eV/atom. Its space group is No. 139.

abc: 4.8803 4.8803 4.8803
angles: 135.31 135.31 65.05
Positions (direct):
Be: 0.2500 0.7500 0.5000
Zn: 0.0000 0.0000 0.0000
Zn: 0.5000 0.5000 0.0000
Ta: 0.7500 0.2500 0.5000



[6]
Computed, not measured: crystalline TaBeZn at its relaxed geometry at the GGA-PBE level of DFT.

The total DFT energy (no corrections) comes out at -0.390 Ry per atom. The calculated formation energy comes out at 0.306 eV/atom. Its space group is No. 156.

abc: 2.7840 2.7840 6.5573
angles: 90.00 90.00 120.00
Positions (direct):
Be: 0.0000 0.0000 0.9905
Zn: 0.3333 0.6667 0.6905
Ta: 0.6667 0.3333 0.3190